DFT (GGA-PBE) results for a relaxed BaNa2MnI6 crystal.

Summary:
uncorrected formation energy = -11.165 eV/f.u.
final energy = -3.420 eV/atom

Lattice parameters (Å, degrees): 8.667 8.667 8.667 55.48 55.48 55.48
Atoms (fractional coordinates):
Ba 0.000 0.000 0.000
Na 0.191 0.191 0.191
Na 0.700 0.700 0.700
Mn 0.507 0.507 0.507
I 0.136 0.420 0.751
I 0.312 0.886 0.575
I 0.420 0.751 0.136
I 0.575 0.312 0.886
I 0.751 0.136 0.420
I 0.886 0.575 0.312


DFT (GGA-PBE) results for a relaxed La4TlNi crystal.

Summary:
final energy = -4.880 eV/atom
energy above the most stable polymorph in this dataset = 0.12 eV/f.u.

Lattice parameters (Å, degrees): 8.542 8.542 6.300 103.21 103.21 116.17
Atoms (fractional coordinates):
La 0.074 0.695 0.923
La 0.189 0.332 0.650
La 0.305 0.926 0.577
La 0.332 0.189 0.150
La 0.668 0.811 0.850
La 0.695 0.074 0.423
La 0.811 0.668 0.350
La 0.926 0.305 0.077
Tl 0.385 0.615 0.250
Tl 0.615 0.385 0.750
Ni 0.001 0.999 0.750
Ni 0.999 0.001 0.250


DFT (GGA-PBE) results for a relaxed TlP2AuO crystal.

Summary:
uncorrected formation energy = 5.776 eV/f.u.
final energy = -3.129 eV/atom
energy above the most stable polymorph in this dataset = 2.34 eV/f.u.

Lattice parameters (Å, degrees): 5.207 5.207 4.010 90.00 90.00 90.00
Atoms (fractional coordinates):
Tl 0.000 0.000 0.000
P 0.000 0.500 0.000
P 0.500 0.000 0.000
Au 0.500 0.500 0.500
O 0.000 0.000 0.500


DFT (GGA-PBE) results for a relaxed ReHgPb crystal.

Summary:
final energy = -4.405 eV/atom
energy above the most stable polymorph in this dataset = 0.49 eV/f.u.

Lattice parameters (Å, degrees): 2.977 4.262 10.072 90.00 90.00 90.00
Atoms (fractional coordinates):
Re 0.000 0.000 0.000
Re 0.500 0.500 0.500
Hg 0.000 0.000 0.631
Hg 0.500 0.500 0.131
Pb 0.000 0.000 0.329
Pb 0.500 0.500 0.829